CoSiMo: optimized geometry, PBE.

Calculated values
The calculation puts the mass density at 7.75 g/cm³. The value obtained for the energy above the most stable polymorph in this dataset is 1.26 eV per formula unit. The value obtained for the density of states at the Fermi level is 2.82 states/eV/cell. For the volume, the calculation gives 39.2 Å³/cell. For the magnetization, the calculation gives 0.19 μB/atom. The symmetry is No. 156.

abc: 2.7220 2.7220 6.1104
angles: 90.00 90.00 120.00
Last column: nearest neighbours and their distance in Å.
Positions (direct):
Co: 0.0000 0.0000 0.9825  3 Si 2.39, 3 Mo 2.64
Mo: 0.6667 0.3333 0.3289  3 Co 2.64, 3 Si 2.70, 6 Mo 2.72
Si: 0.3333 0.6667 0.6886  3 Co 2.39